<one>
The following is a PBE calculation of a geometry-optimized PuPaGaSn structure, from the Alexandria database.

Symmetry: No. 38
Crystal system: orthorhombic
N(E_F) (states/eV per atom): 1.944
Volume (A^3/atom): 24.12

Lattice parameters (Å, degrees): 3.1632 5.7268 5.5404 90.00 90.00 106.03
Fractional positions:
Pu1 0.1987 0.3975 0.0000
Ga1 0.0665 0.1330 0.5000
Sn1 0.7982 0.5964 0.5000
Pa1 0.9489 0.8979 0.0000

<two>
The following is a PBE calculation of a geometry-optimized PuPaGaSn structure, from the Alexandria database.

Symmetry: No. 216
Crystal system: cubic
N(E_F) (states/eV per atom): 3.377
Volume (A^3/atom): 24.78

Lattice parameters (Å, degrees): 5.1948 5.1948 5.1948 60.00 60.00 60.00
Fractional positions:
Pa1 0.5000 0.5000 0.5000
Sn1 0.2500 0.2500 0.2500
Pu1 0.0000 0.0000 0.0000
Ga1 0.7500 0.7500 0.7500

<two> comes first in stability; the runner-up is 127 meV per atom higher.

<one>
The following is a PBE calculation of a geometry-optimized Pa3GaRe structure, from the Alexandria database.

Symmetry: No. 198
Crystal system: cubic
N(E_F) (states/eV per atom): 1.745
Volume (A^3/atom): 21.28

Lattice parameters (Å, degrees): 7.5218 7.5218 7.5218 90.00 90.00 90.00
Fractional positions:
Pa1 0.5323 0.6477 0.2960
Pa2 0.2040 0.4677 0.1477
Pa3 0.7040 0.0323 0.8523
Pa4 0.1477 0.2040 0.4677
Pa5 0.0323 0.8523 0.7040
Pa6 0.2960 0.5323 0.6477
Pa7 0.8523 0.7040 0.0323
Pa8 0.7960 0.9677 0.3523
Pa9 0.6477 0.2960 0.5323
Pa10 0.9677 0.3523 0.7960
Pa11 0.4677 0.1477 0.2040
Pa12 0.3523 0.7960 0.9677
Re1 0.6620 0.6620 0.6620
Re2 0.8380 0.3380 0.1620
Re3 0.1620 0.8380 0.3380
Re4 0.3380 0.1620 0.8380
Ga1 0.4272 0.9272 0.5728
Ga2 0.5728 0.4272 0.9272
Ga3 0.9272 0.5728 0.4272
Ga4 0.0728 0.0728 0.0728

<two>
The following is a PBE calculation of a geometry-optimized Pa3GaRe structure, from the Alexandria database.

Symmetry: No. 2
Crystal system: triclinic
N(E_F) (states/eV per atom): 1.604
Volume (A^3/atom): 22.60

Lattice parameters (Å, degrees): 7.8869 7.6589 7.6610 77.57 89.97 89.94
Fractional positions:
Pa1 0.0000 0.3719 0.3725
Pa2 0.4316 0.0464 0.7064
Pa3 0.0000 0.6281 0.6275
Pa4 0.9316 0.9543 0.2936
Pa5 0.5686 0.7064 0.0454
Pa6 0.4995 0.6284 0.6273
Pa7 0.0684 0.0457 0.7064
Pa8 0.4314 0.2936 0.9546
Pa9 0.9317 0.7065 0.0457
Pa10 0.5005 0.3716 0.3727
Pa11 0.0683 0.2935 0.9543
Pa12 0.5684 0.9536 0.2936
Re1 0.2501 0.1146 0.3406
Re2 0.7499 0.8854 0.6594
Re3 0.2501 0.6598 0.8847
Re4 0.7499 0.3402 0.1153
Ga1 0.2501 0.9418 0.0582
Ga2 0.7500 0.3171 0.6840
Ga3 0.2500 0.6829 0.3160
Ga4 0.7499 0.0582 0.9418

<one> comes first in stability; the runner-up is 157 meV per atom higher.

<one>
The following is a PBE calculation of a geometry-optimized PaGa2Re structure, from the Alexandria database.

Symmetry: No. 225
Crystal system: cubic
N(E_F) (states/eV per atom): 0.604
Volume (A^3/atom): 17.87

Lattice parameters (Å, degrees): 4.6579 4.6579 4.6589 60.01 60.01 60.00
Fractional positions:
Re1 0.5000 0.5000 0.5000
Pa1 0.0000 0.0000 0.0000
Ga1 0.2499 0.2499 0.2502
Ga2 0.7501 0.7501 0.7498

<two>
The following is a PBE calculation of a geometry-optimized PaGa2Re structure, from the Alexandria database.

Symmetry: No. 123
Crystal system: tetragonal
N(E_F) (states/eV per atom): 1.025
Volume (A^3/atom): 17.91

Lattice parameters (Å, degrees): 3.2902 3.2902 6.6196 90.00 90.00 90.00
Fractional positions:
Ga1 0.0000 0.0000 0.8000
Ga2 0.0000 0.0000 0.2000
Re1 0.5000 0.5000 0.0000
Pa1 0.5000 0.5000 0.5000

<three>
The following is a PBE calculation of a geometry-optimized PaGa2Re structure, from the Alexandria database.

Symmetry: No. 11
Crystal system: monoclinic
N(E_F) (states/eV per atom): 0.653
Volume (A^3/atom): 18.74

Lattice parameters (Å, degrees): 4.5439 5.7265 6.7195 90.00 90.00 120.95
Fractional positions:
Pa1 0.1230 0.1600 0.7500
Pa2 0.8770 0.8400 0.2500
Re1 0.7458 0.6286 0.7500
Re2 0.2542 0.3714 0.2500
Ga1 0.6811 0.2683 0.4481
Ga2 0.6811 0.2683 0.0519
Ga3 0.3189 0.7317 0.5519
Ga4 0.3189 0.7317 0.9481

<three> comes first in stability; the runner-up is 165 meV per atom higher.

<one>
The following is a PBE calculation of a geometry-optimized PaGaRe2 structure, from the Alexandria database.

Symmetry: No. 225
Crystal system: cubic
N(E_F) (states/eV per atom): 1.534
Volume (A^3/atom): 17.75

Lattice parameters (Å, degrees): 4.6480 4.6480 4.6480 60.00 60.00 60.00
Fractional positions:
Re1 0.2500 0.2500 0.2500
Re2 0.7500 0.7500 0.7500
Ga1 0.0000 0.0000 0.0000
Pa1 0.5000 0.5000 0.5000

<two>
The following is a PBE calculation of a geometry-optimized PaGaRe2 structure, from the Alexandria database.

Symmetry: No. 123
Crystal system: tetragonal
N(E_F) (states/eV per atom): 1.223
Volume (A^3/atom): 17.54

Lattice parameters (Å, degrees): 3.7950 4.2995 4.2995 90.00 90.00 90.00
Fractional positions:
Re1 0.0000 0.0000 0.5000
Re2 0.0000 0.5000 0.0000
Pa1 0.5000 0.5000 0.5000
Ga1 0.5000 0.0000 0.0000

<two> comes first in stability; the runner-up is 143 meV per atom higher.

<one>
The following is a PBE calculation of a geometry-optimized Pa2GaRe structure, from the Alexandria database.

Symmetry: No. 123
Crystal system: tetragonal
N(E_F) (states/eV per atom): 0.958
Volume (A^3/atom): 21.27

Lattice parameters (Å, degrees): 3.1827 3.1827 8.4005 90.00 90.00 90.00
Fractional positions:
Pa1 0.0000 0.0000 0.2263
Pa2 0.0000 0.0000 0.7737
Ga1 0.5000 0.5000 0.5000
Re1 0.5000 0.5000 0.0000

<two>
The following is a PBE calculation of a geometry-optimized Pa2GaRe structure, from the Alexandria database.

Symmetry: No. 225
Crystal system: cubic
N(E_F) (states/eV per atom): 1.566
Volume (A^3/atom): 21.33

Lattice parameters (Å, degrees): 4.9414 4.9414 4.9414 60.00 60.00 60.00
Fractional positions:
Ga1 0.5000 0.5000 0.5000
Re1 0.0000 0.0000 0.0000
Pa1 0.7500 0.7500 0.7500
Pa2 0.2500 0.2500 0.2500

<one> comes first in stability; the runner-up is 178 meV per atom higher.

<one>
The following is a PBE calculation of a geometry-optimized Pa3Ga4Rh2 structure, from the Alexandria database.

Symmetry: No. 12
Crystal system: monoclinic
N(E_F) (states/eV per atom): 0.963
Volume (A^3/atom): 19.53

Lattice parameters (Å, degrees): 4.4496 5.7414 7.9455 73.02 73.74 67.20
Fractional positions:
Ga1 0.2748 0.3893 0.0610
Ga2 0.7252 0.6107 0.9390
Ga3 0.0128 0.3317 0.6427
Ga4 0.9872 0.6683 0.3573
Rh1 0.3997 0.9227 0.2779
Rh2 0.6003 0.0773 0.7221
Pa1 0.0000 0.0000 0.0000
Pa2 0.3097 0.7330 0.6477
Pa3 0.6903 0.2670 0.3523

<two>
The following is a PBE calculation of a geometry-optimized Pa3Ga4Rh2 structure, from the Alexandria database.

Symmetry: No. 189
Crystal system: hexagonal
N(E_F) (states/eV per atom): 1.204
Volume (A^3/atom): 19.78

Lattice parameters (Å, degrees): 3.7608 7.3926 7.3926 120.00 90.00 90.00
Fractional positions:
Rh1 0.0000 0.3333 0.6667
Rh2 0.0000 0.6667 0.3333
Pa1 0.5000 0.0000 0.4020
Pa2 0.5000 0.4020 0.0000
Pa3 0.5000 0.5980 0.5980
Ga1 0.5000 0.0000 0.0000
Ga2 0.0000 0.2589 0.2589
Ga3 0.0000 0.0000 0.7411
Ga4 0.0000 0.7411 0.0000

<one> comes first in stability; the runner-up is 30 meV per atom higher.

<one>
The following is a PBE calculation of a geometry-optimized Pa2Ga3Rh structure, from the Alexandria database.

Symmetry: No. 69
Crystal system: orthorhombic
N(E_F) (states/eV per atom): 1.018
Volume (A^3/atom): 19.48

Lattice parameters (Å, degrees): 5.5978 5.5978 8.5047 103.17 103.17 107.92
Fractional positions:
Ga1 0.3322 0.8352 0.1674
Ga2 0.8352 0.3322 0.1674
Ga3 0.1671 0.1671 0.3343
Ga4 0.8329 0.8329 0.6657
Ga5 0.1648 0.6678 0.8326
Ga6 0.6678 0.1648 0.8326
Rh1 0.3331 0.3331 0.6662
Rh2 0.6669 0.6669 0.3338
Pa1 0.2500 0.7500 0.5000
Pa2 0.7330 0.7330 0.0000
Pa3 0.7500 0.2500 0.5000
Pa4 0.2670 0.2670 0.0000

<two>
The following is a PBE calculation of a geometry-optimized Pa2Ga3Rh structure, from the Alexandria database.

Symmetry: No. 25
Crystal system: orthorhombic
N(E_F) (states/eV per atom): 0.812
Volume (A^3/atom): 19.78

Lattice parameters (Å, degrees): 3.4546 4.4796 7.6683 90.00 90.00 90.00
Fractional positions:
Pa1 0.0000 0.5000 0.0174
Pa2 0.0000 0.0000 0.4876
Ga1 0.5000 0.5000 0.6686
Ga2 0.5000 0.0000 0.8302
Ga3 0.5000 0.0000 0.1641
Rh1 0.5000 0.5000 0.3320

<two> comes first in stability; the runner-up is 34 meV per atom higher.

<one>
The following is a PBE calculation of a geometry-optimized Pa2GaRu structure, from the Alexandria database.

Symmetry: No. 166
Crystal system: trigonal
N(E_F) (states/eV per atom): 1.346
Volume (A^3/atom): 21.59

Lattice parameters (Å, degrees): 4.6036 4.6036 5.4034 64.79 64.79 60.00
Fractional positions:
Pa1 0.2559 0.2559 0.2322
Pa2 0.7441 0.7441 0.7678
Ga1 0.5000 0.5000 0.5000
Ru1 0.0000 0.0000 0.0000

<two>
The following is a PBE calculation of a geometry-optimized Pa2GaRu structure, from the Alexandria database.

Symmetry: No. 123
Crystal system: tetragonal
N(E_F) (states/eV per atom): 1.443
Volume (A^3/atom): 19.97

Lattice parameters (Å, degrees): 4.2240 4.3482 4.3482 90.00 90.00 90.00
Fractional positions:
Pa1 0.0000 0.5000 0.0000
Pa2 0.0000 0.0000 0.5000
Ru1 0.5000 0.0000 0.0000
Ga1 0.5000 0.5000 0.5000

<two> comes first in stability; the runner-up is 157 meV per atom higher.

<one>
The following is a PBE calculation of a geometry-optimized PaGa2Ru structure, from the Alexandria database.

Symmetry: No. 123
Crystal system: tetragonal
N(E_F) (states/eV per atom): 1.149
Volume (A^3/atom): 17.57

Lattice parameters (Å, degrees): 3.1565 3.1565 7.0531 90.00 90.00 90.00
Fractional positions:
Ga1 0.0000 0.0000 0.8040
Ga2 0.0000 0.0000 0.1960
Ru1 0.5000 0.5000 0.0000
Pa1 0.5000 0.5000 0.5000

<two>
The following is a PBE calculation of a geometry-optimized PaGa2Ru structure, from the Alexandria database.

Symmetry: No. 225
Crystal system: cubic
N(E_F) (states/eV per atom): 0.501
Volume (A^3/atom): 17.87

Lattice parameters (Å, degrees): 4.6596 4.6596 4.6576 59.99 59.99 60.00
Fractional positions:
Ga1 0.2499 0.2499 0.2504
Ga2 0.7501 0.7501 0.7496
Pa1 0.5000 0.5000 0.5000
Ru1 0.0000 0.0000 0.0000

<one> comes first in stability; the runner-up is 10 meV per atom higher.

<one>
The following is a PBE calculation of a geometry-optimized PaGaTcRu structure, from the Alexandria database.

Symmetry: No. 216
Crystal system: cubic
N(E_F) (states/eV per atom): 0.631
Volume (A^3/atom): 17.32

Lattice parameters (Å, degrees): 4.6101 4.6101 4.6101 60.00 60.00 60.00
Fractional positions:
Ru1 0.7500 0.7500 0.7500
Pa1 0.5000 0.5000 0.5000
Tc1 0.2500 0.2500 0.2500
Ga1 0.0000 0.0000 0.0000

<two>
The following is a PBE calculation of a geometry-optimized PaGaTcRu structure, from the Alexandria database.

Symmetry: No. 47
Crystal system: orthorhombic
N(E_F) (states/eV per atom): 0.537
Volume (A^3/atom): 17.01

Lattice parameters (Å, degrees): 3.5791 4.3929 4.3284 90.00 90.00 90.00
Fractional positions:
Pa1 0.0000 0.5000 0.5000
Tc1 0.5000 0.0000 0.5000
Ga1 0.0000 0.0000 0.0000
Ru1 0.5000 0.5000 0.0000

<two> comes first in stability; the runner-up is 97 meV per atom higher.

<one>
The following is a PBE calculation of a geometry-optimized PaGaS structure, from the Alexandria database.

Symmetry: No. 139
Crystal system: tetragonal
N(E_F) (states/eV per atom): 1.045
Volume (A^3/atom): 20.14

Lattice parameters (Å, degrees): 3.8791 3.8791 8.4864 103.21 103.21 90.00
Fractional positions:
Ga1 0.5000 0.0000 0.0000
Ga2 0.0000 0.5000 0.0000
Pa1 0.3497 0.3497 0.6995
Pa2 0.6503 0.6503 0.3005
S1 0.1759 0.1759 0.3517
S2 0.8241 0.8241 0.6483

<two>
The following is a PBE calculation of a geometry-optimized PaGaS structure, from the Alexandria database.

Symmetry: No. 166
Crystal system: trigonal
N(E_F) (states/eV per atom): 1.177
Volume (A^3/atom): 23.80

Lattice parameters (Å, degrees): 4.5037 4.5037 8.5336 74.70 74.70 60.00
Fractional positions:
Ga1 0.3576 0.3576 0.9272
Ga2 0.6424 0.6424 0.0728
Pa1 0.2322 0.2322 0.3033
Pa2 0.7678 0.7678 0.6967
S1 0.8818 0.8818 0.3546
S2 0.1182 0.1182 0.6454

<one> comes first in stability; the runner-up is 264 meV per atom higher.

<one>
The following is a PBE calculation of a geometry-optimized PaGaS2 structure, from the Alexandria database.

Symmetry: No. 166
Crystal system: trigonal
N(E_F) (states/eV per atom): 1.215
Volume (A^3/atom): 21.95

Lattice parameters (Å, degrees): 3.5271 3.5271 8.4011 77.88 77.88 60.00
Fractional positions:
Ga1 0.5000 0.5000 0.5000
S1 0.1080 0.1080 0.6760
S2 0.8920 0.8920 0.3240
Pa1 0.0000 0.0000 0.0000

<two>
The following is a PBE calculation of a geometry-optimized PaGaS2 structure, from the Alexandria database.

Symmetry: No. 160
Crystal system: trigonal
N(E_F) (states/eV per atom): 1.120
Volume (A^3/atom): 24.28

Lattice parameters (Å, degrees): 3.8395 3.8395 7.9223 75.98 75.98 60.00
Fractional positions:
S1 0.2607 0.2607 0.2178
S2 0.0721 0.0721 0.7836
Ga1 0.5005 0.5005 0.4985
Pa1 0.6666 0.6666 0.0001

<two> comes first in stability; the runner-up is 547 meV per atom higher.

<one>
The following is a PBE calculation of a geometry-optimized PaGaSb structure, from the Alexandria database.

Symmetry: No. 166
Crystal system: trigonal
N(E_F) (states/eV per atom): 1.468
Volume (A^3/atom): 26.46

Lattice parameters (Å, degrees): 5.1854 5.1854 7.4455 69.62 69.62 60.00
Fractional positions:
Ga1 0.2908 0.2908 0.1275
Ga2 0.7092 0.7092 0.8725
Pa1 0.4337 0.4337 0.6989
Pa2 0.5663 0.5663 0.3011
Sb1 0.8532 0.8532 0.4404
Sb2 0.1468 0.1468 0.5596

<two>
The following is a PBE calculation of a geometry-optimized PaGaSb structure, from the Alexandria database.

Symmetry: No. 107
Crystal system: tetragonal
N(E_F) (states/eV per atom): 1.499
Volume (A^3/atom): 23.36

Lattice parameters (Å, degrees): 3.7034 3.7034 5.7416 108.81 108.81 90.00
Fractional positions:
Sb1 0.9361 0.9361 0.8721
Pa1 0.6172 0.6172 0.2344
Ga1 0.2967 0.2967 0.5935

<two> comes first in stability; the runner-up is 226 meV per atom higher.